(1)
PBE CoReBr2, optimized geometry; calculated volume = 78 Å³ per cell; formation energy from raw total energies = 5.17 eV per formula unit; energy above the lowest structure with this stoichiometry = 985 meV per atom; space-group type = Pmmm
1.0
3.022 0.000 0.000
0.000 4.308 0.000
0.000 0.000 5.969
Co Re Br
1 1 2
Direct
0.000 0.000 0.000 Co
0.500 0.000 0.500 Re
0.000 0.500 0.500 Br
0.500 0.500 0.000 Br

***

(2)
PBE Hf3MnRh, optimized geometry; calculated volume = 118 Å³ per cell; energy above the lowest structure with this stoichiometry = 495 meV per atom; space-group type = Pm-3m
1.0
4.902 0.000 0.000
0.000 4.902 0.000
0.000 0.000 4.902
Hf Mn Rh
3 1 1
Direct
0.000 0.000 0.500 Hf
0.000 0.500 0.000 Hf
0.500 0.000 0.000 Hf
0.500 0.500 0.500 Mn
0.000 0.000 0.000 Rh

***

(3)
PBE BaLa2Tl, optimized geometry; calculated volume = 285 Å³ per cell; energy above the lowest structure with this stoichiometry = 69 meV per atom; space-group type = I-4m2
1.0
5.115 0.000 0.000
0.000 5.115 0.000
0.000 0.000 10.877
Ba La Tl
2 4 2
Direct
0.000 0.000 0.000 Ba
0.500 0.500 0.500 Ba
0.000 0.000 0.500 La
0.000 0.500 0.750 La
0.500 0.000 0.250 La
0.500 0.500 0.000 La
0.000 0.500 0.250 Tl
0.500 0.000 0.750 Tl

***

(4)
PBE VFeNiAu, optimized geometry; total DFT energy (no corrections) = -105.64 eV for the cell shown; calculated volume = 216 Å³ per cell; space-group type = F-43m
1.0
6.004 0.000 0.000
0.000 6.004 0.000
0.000 0.000 6.004
V Fe Ni Au
4 4 4 4
Direct
0.000 0.000 0.000 V
0.000 0.500 0.500 V
0.500 0.000 0.500 V
0.500 0.500 0.000 V
0.250 0.250 0.250 Fe
0.250 0.750 0.750 Fe
0.750 0.250 0.750 Fe
0.750 0.750 0.250 Fe
0.250 0.250 0.750 Ni
0.250 0.750 0.250 Ni
0.750 0.250 0.250 Ni
0.750 0.750 0.750 Ni
0.000 0.000 0.500 Au
0.000 0.500 0.000 Au
0.500 0.000 0.000 Au
0.500 0.500 0.500 Au

***

(5)
PBE ZrCrB, optimized geometry; calculated volume = 157 Å³ per cell; energy above the lowest structure with this stoichiometry = 162 meV per atom; space-group type = C2/m
1.0
9.367 0.000 0.000
0.000 3.084 0.000
-1.755 0.000 5.447
Zr Cr B
4 4 4
Direct
0.000 0.000 0.000 Zr
0.000 0.500 0.500 Zr
0.500 0.000 0.500 Zr
0.500 0.500 0.000 Zr
0.244 0.000 0.678 Cr
0.256 0.500 0.322 Cr
0.744 0.500 0.678 Cr
0.756 0.000 0.322 Cr
0.210 0.500 0.929 B
0.290 0.000 0.071 B
0.710 0.000 0.929 B
0.790 0.500 0.071 B

***

(6)
PBE Y2TiSbN, optimized geometry; calculated volume = 100 Å³ per cell; formation energy from raw total energies = -5.07 eV per formula unit; space-group type = P4/mmm
1.0
4.937 0.000 0.000
0.000 4.937 0.000
0.000 0.000 4.099
Y Ti Sb N
2 1 1 1
Direct
0.000 0.500 0.000 Y
0.500 0.000 0.000 Y
0.000 0.000 0.500 Ti
0.500 0.500 0.500 Sb
0.000 0.000 0.000 N

***

Which of these has the lowest calculated volume? CoReBr2